(one)
VASP calculation (PBE) on a geometry-optimized HoTmOs structure.

Structure (POSCAR):
```
HoTmOs
1.0
7.383 0.000 0.000
0.000 4.299 0.000
0.000 0.000 8.782
Ho Tm Os
4 4 4
Cartesian
0.172 1.075 1.464 Ho
3.519 3.224 5.855 Ho
3.864 1.075 2.927 Ho
7.211 3.224 7.317 Ho
1.078 1.075 4.981 Tm
2.614 3.224 0.590 Tm
4.769 1.075 8.192 Tm
6.305 3.224 3.801 Tm
1.806 3.224 3.336 Os
1.886 1.075 7.727 Os
5.497 3.224 1.054 Os
5.577 1.075 5.445 Os
```


(two)
VASP calculation (PBE) on a geometry-optimized HoTmOs structure.

Structure (POSCAR):
```
HoTmOs
1.0
7.364 0.000 0.000
0.000 4.306 0.000
0.000 0.000 8.800
Ho Tm Os
4 4 4
Cartesian
1.087 1.076 0.603 Ho
2.594 3.229 5.004 Ho
4.769 1.076 3.797 Ho
6.276 3.229 8.197 Ho
0.157 1.076 5.844 Tm
3.525 3.229 1.444 Tm
3.839 1.076 7.356 Tm
7.207 3.229 2.956 Tm
1.835 3.229 7.759 Os
1.847 1.076 3.359 Os
5.517 3.229 5.442 Os
5.529 1.076 1.042 Os
```


It is (one) that is the most stable of them.


(one)
VASP calculation (PBE) on a geometry-optimized HoTe3PdPb structure.

Structure (POSCAR):
```
HoTe3PdPb
1.0
2.057 -7.518 0.000
2.057 7.518 0.000
0.000 0.000 11.252
Ho Te Pd Pb
2 6 2 2
Cartesian
0.000 0.000 0.000 Ho
0.000 0.000 5.626 Ho
2.057 6.293 8.439 Te
2.057 2.191 6.170 Te
2.057 2.191 10.708 Te
2.057 -2.191 0.544 Te
2.057 -2.191 5.082 Te
2.057 -6.293 2.813 Te
2.057 0.575 8.439 Pd
2.057 -0.575 2.813 Pd
2.057 4.350 2.813 Pb
2.057 -4.350 8.439 Pb
```


(two)
VASP calculation (PBE) on a geometry-optimized HoTe3PdPb structure.

Structure (POSCAR):
```
HoTe3PdPb
1.0
8.436 0.000 0.000
0.000 4.192 0.000
-3.287 0.000 10.206
Ho Te Pd Pb
2 6 2 2
Cartesian
1.117 1.048 1.776 Ho
4.032 3.144 8.429 Ho
-2.185 1.048 8.862 Te
0.515 1.048 4.735 Te
3.311 3.144 1.614 Te
1.838 1.048 8.592 Te
4.634 3.144 5.470 Te
7.333 3.144 1.344 Te
2.127 3.144 4.121 Pd
3.021 1.048 6.085 Pd
-0.239 3.144 7.238 Pb
5.388 1.048 2.968 Pb
```


It is (one) that is the most stable of them.


(one)
VASP calculation (PBE) on a geometry-optimized YHoTe3Pb structure.

Structure (POSCAR):
```
YHoTe3Pb
1.0
2.179 -7.645 0.000
2.179 7.645 0.000
0.000 0.000 11.935
Y Ho Te Pb
2 2 6 2
Cartesian
0.000 0.000 0.000 Y
0.000 0.000 5.968 Y
2.179 0.752 8.951 Ho
2.179 -0.752 2.984 Ho
2.179 6.381 8.951 Te
2.179 2.190 6.344 Te
2.179 2.190 11.558 Te
2.179 -2.190 0.377 Te
2.179 -2.190 5.591 Te
2.179 -6.381 2.984 Te
2.179 4.307 2.984 Pb
2.179 -4.307 8.951 Pb
```


(two)
VASP calculation (PBE) on a geometry-optimized YHoTe3Pb structure.

Structure (POSCAR):
```
YHoTe3Pb
1.0
2.181 -7.644 0.000
2.181 7.644 0.000
0.000 0.000 11.854
Y Ho Te Pb
2 2 6 2
Cartesian
2.181 6.845 8.890 Y
2.181 -6.845 2.963 Y
2.181 0.000 0.000 Ho
2.181 0.000 5.927 Ho
2.181 5.459 6.253 Te
2.181 5.459 11.528 Te
2.181 1.247 8.890 Te
2.181 -1.247 2.963 Te
2.181 -5.459 0.326 Te
2.181 -5.459 5.601 Te
2.181 3.399 2.963 Pb
2.181 -3.399 8.890 Pb
```


It is (one) that is the most stable of them.